No. 1
BeGa3C | PBE | relaxed

Lattice parameters (Å, degrees): 4.260 4.260 4.260 90.00 90.00 90.00
Positions (direct):
Be  0.000  0.000  0.000
Ga  0.000  0.500  0.500
Ga  0.500  0.000  0.500
Ga  0.500  0.500  0.000
C  0.500  0.500  0.500

Total magnetization   0.0 μB/f.u.
Calculated volume   15.5 Å³/atom
Crystal system   cubic
Space group   Pm-3m, No. 221
DOS(E_F)   0.87 states/eV per atom
Mass density   4.94 Mg/m³
Excess energy over the best structure of this formula in the dataset   0.000 eV/atom
Electronic total energy   -3.4342 eV per atom

---

No. 2
K2AcInPb2 | PBE | relaxed

Lattice parameters (Å, degrees): 5.063 10.477 8.425 90.00 90.00 90.00
Positions (direct):
K  0.000  0.078  0.000
K  0.000  0.922  0.500
K  0.500  0.162  0.320
K  0.500  0.838  0.820
Ac  0.500  0.454  0.963
Ac  0.500  0.546  0.463
In  0.000  0.330  0.630
In  0.000  0.670  0.130
Pb  0.000  0.386  0.249
Pb  0.000  0.614  0.749
Pb  0.500  0.183  0.732
Pb  0.500  0.817  0.232

Total magnetization   0.0 μB/f.u.
Calculated volume   37.2 Å³/atom
Crystal system   orthorhombic
Space group   Pmc2_1, No. 26
DOS(E_F)   0.11 states/eV per atom
Mass density   6.20 Mg/m³
Electronic total energy   -3.0552 eV per atom

---

No. 3
YCrHg3 | PBE | relaxed

Lattice parameters (Å, degrees): 5.661 5.661 5.661 90.00 90.00 90.00
Positions (direct):
Y  0.000  0.000  0.000
Cr  0.500  0.500  0.500
Hg  0.000  0.000  0.500
Hg  0.000  0.500  0.000
Hg  0.500  0.000  0.000

Total magnetization   0.9 μB/f.u.
Calculated volume   36.3 Å³/atom
Crystal system   cubic
Space group   Pm-3m, No. 221
DOS(E_F)   2.44 states/eV per atom
Mass density   6.80 Mg/m³
Excess energy over the best structure of this formula in the dataset   0.971 eV/atom
Electronic total energy   -1.9659 eV per atom

---

No. 4
MnHg2Ir | PBE | relaxed

Lattice parameters (Å, degrees): 4.137 4.137 8.266 90.00 90.00 90.00
Positions (direct):
Mn  0.000  0.000  0.000
Mn  0.500  0.500  0.500
Hg  0.000  0.500  0.250
Hg  0.000  0.500  0.750
Hg  0.500  0.000  0.250
Hg  0.500  0.000  0.750
Ir  0.000  0.000  0.500
Ir  0.500  0.500  0.000

Total magnetization   4.3 μB/f.u.
Calculated volume   17.7 Å³/atom
Crystal system   tetragonal
Space group   I4/mmm, No. 139
DOS(E_F)   0.32 states/eV per atom
Mass density   15.22 Mg/m³
Excess energy over the best structure of this formula in the dataset   0.108 eV/atom
Electronic total energy   -4.3374 eV per atom

---

No. 5
LiCoIrPd2 | PBE | relaxed

Lattice parameters (Å, degrees): 4.500 4.500 3.993 90.00 90.00 90.00
Positions (direct):
Li  0.000  0.000  0.000
Co  0.000  0.000  0.500
Ir  0.500  0.500  0.000
Pd  0.000  0.500  0.500
Pd  0.500  0.000  0.500

Total magnetization   2.7 μB/f.u.
Calculated volume   16.2 Å³/atom
Crystal system   tetragonal
Space group   P4/mmm, No. 123
DOS(E_F)   1.02 states/eV per atom
Mass density   9.67 Mg/m³
Electronic total energy   -4.6551 eV per atom

---

No. 6
Ge2BiSbO8 | PBE | relaxed

Lattice parameters (Å, degrees): 5.485 5.485 6.764 90.00 90.00 120.00
Positions (direct):
Ge  0.333  0.667  0.222
Ge  0.667  0.333  0.778
Bi  0.000  0.000  0.000
Sb  0.000  0.000  0.500
O  0.156  0.312  0.306
O  0.156  0.844  0.306
O  0.312  0.156  0.694
O  0.333  0.667  0.969
O  0.667  0.333  0.031
O  0.688  0.844  0.306
O  0.844  0.156  0.694
O  0.844  0.688  0.694

Total magnetization   0.0 μB/f.u.
Calculated volume   14.7 Å³/atom
Crystal system   trigonal
Space group   P-3m1, No. 164
DOS(E_F)   0.00 states/eV per atom
Mass density   5.69 Mg/m³
Electronic total energy   -6.0243 eV per atom
Raw formation energy   -1.282 eV/atom

---

No. 7
LaNiP | PBE | relaxed

Lattice parameters (Å, degrees): 4.309 4.053 7.002 90.00 91.70 90.00
Positions (direct):
La  0.218  0.000  0.242
La  0.782  0.000  0.758
Ni  0.247  0.500  0.579
Ni  0.753  0.500  0.421
P  0.303  0.500  0.889
P  0.697  0.500  0.111

Total magnetization   0.0 μB/f.u.
Calculated volume   20.4 Å³/atom
Crystal system   monoclinic
Space group   P2/m, No. 10
DOS(E_F)   0.46 states/eV per atom
Mass density   6.21 Mg/m³
Electronic total energy   -6.1746 eV per atom

---

No. 8
Dy3YNi | PBE | relaxed

Lattice parameters (Å, degrees): 7.950 7.156 9.942 90.00 107.04 90.00
Positions (direct):
Dy  0.068  0.206  0.025
Dy  0.068  0.294  0.525
Dy  0.281  0.007  0.379
Dy  0.281  0.493  0.879
Dy  0.418  0.630  0.608
Dy  0.418  0.870  0.108
Dy  0.582  0.130  0.892
Dy  0.582  0.370  0.392
Dy  0.719  0.507  0.121
Dy  0.719  0.993  0.621
Dy  0.932  0.706  0.475
Dy  0.932  0.794  0.975
Y  0.184  0.540  0.258
Y  0.184  0.960  0.758
Y  0.816  0.040  0.242
Y  0.816  0.460  0.742
Ni  0.436  0.238  0.606
Ni  0.436  0.262  0.106
Ni  0.564  0.738  0.894
Ni  0.564  0.762  0.394

Total magnetization   0.0 μB/f.u.
Calculated volume   27.0 Å³/atom
Crystal system   monoclinic
Space group   P2_1/c, No. 14
DOS(E_F)   1.05 states/eV per atom
Mass density   7.80 Mg/m³
Excess energy over the best structure of this formula in the dataset   0.059 eV/atom
Electronic total energy   -5.3181 eV per atom